MnP2AuO | Alexandria | GGA+U | optimized geometry; Fermi-level density of states = 4.03 states/eV/f.u.; total magnetic moment = 3.70 μB/f.u.; total DFT energy (no corrections) = -22.8 eV for the cell shown
1.0
4.916 0.000 0.000
0.000 4.916 0.000
0.000 0.000 3.967
P Mn Au O
2 1 1 1
direct
0.000 0.500 0.000 P
0.500 0.000 0.000 P
0.500 0.500 0.500 Mn
0.000 0.000 0.000 Au
0.000 0.000 0.500 O